First-principles (GGA-PBE) data for a relaxed structure of K3Np2HgO9, as listed in the Alexandria database.

Values from the calculation:
Formation energy from raw total energies in eV/atom: -2.1517
Magnetization in μB/atom: 0.067
Symmetry: P-3m1, No. 164

Cell lengths 6.101, 6.101, 7.545 Å; angles 90.00, 90.00, 120.00 degrees
Fractional coordinates of all 15 atoms:
K  0.000  0.000  0.000
K  0.333  0.667  0.652
K  0.667  0.333  0.348
Np  0.333  0.667  0.162
Np  0.667  0.333  0.838
Hg  0.000  0.000  0.500
O  0.000  0.500  0.000
O  0.180  0.359  0.311
O  0.180  0.820  0.311
O  0.359  0.180  0.689
O  0.500  0.000  0.000
O  0.500  0.500  0.000
O  0.641  0.820  0.311
O  0.820  0.180  0.689
O  0.820  0.641  0.689